1.
VASP calculation (meta-GGA SCAN) on a crystal of Ba2Cu3Br2O4 relaxed with PBEsol.

Output
E_form (uncorrected) = -1.64 eV per atom
Total energy = -413.2 eV/cell

Unit cell a=5.505 b=5.505 c=14.695 alpha=90.00 beta=90.00 gamma=90.00
Space group I4/mmm (No. 139)
Symmetry-distinct sites (fractional):
Ba  0.000  0.000  0.132 (multiplicity 4)
Cu  0.000  0.000  0.500 (multiplicity 2)
Cu  0.000  0.500  0.000 (multiplicity 4)
Br  0.000  0.500  0.250 (multiplicity 4)
O  0.243  0.243  0.500 (multiplicity 8)

2.
VASP calculation (meta-GGA SCAN) on a crystal of Ba2CuS2Br2 relaxed with PBEsol.

Output
E_form (uncorrected) = -1.81 eV per atom
Total energy = -330.2 eV/cell

Unit cell a=4.609 b=4.609 c=17.509 alpha=90.00 beta=90.00 gamma=90.00
Space group I4/mmm (No. 139)
Symmetry-distinct sites (fractional):
Ba  0.000  0.000  0.123 (multiplicity 4)
Cu  0.000  0.000  0.500 (multiplicity 2)
S  0.000  0.500  0.000 (multiplicity 4)
Br  0.000  0.000  0.315 (multiplicity 4)

3.
VASP calculation (meta-GGA SCAN) on a crystal of Ba2IBrF2 relaxed with PBEsol.

Output
E_form (uncorrected) = -3.23 eV per atom
Total energy = -161.8 eV/cell

Unit cell a=4.526 b=4.526 c=7.833 alpha=90.00 beta=90.00 gamma=90.00
Space group P4mm (No. 99)
Symmetry-distinct sites (fractional):
Ba  0.000  0.000  0.000 (multiplicity 1)
Ba  0.500  0.500  0.359 (multiplicity 1)
I  0.500  0.500  0.810 (multiplicity 1)
Br  0.000  0.000  0.508 (multiplicity 1)
F  0.000  0.500  0.175 (multiplicity 2)

4.
VASP calculation (meta-GGA SCAN) on a crystal of BaPb2BrF5 relaxed with PBEsol.

Output
E_form (uncorrected) = -2.79 eV per atom
Total energy = -506.7 eV/cell

Unit cell a=5.901 b=5.901 c=9.625 alpha=90.00 beta=90.00 gamma=90.00
Space group P4/nmm (No. 129, origin choice 2)
Symmetry-distinct sites (fractional):
Ba  0.250  0.750  0.000 (multiplicity 2)
Pb  0.250  0.250  0.280 (multiplicity 2)
Pb  0.250  0.250  0.673 (multiplicity 2)
Br  0.250  0.750  0.500 (multiplicity 2)
F  0.016  0.016  0.811 (multiplicity 8)
F  0.250  0.250  0.039 (multiplicity 2)

5.
VASP calculation (meta-GGA SCAN) on a crystal of BaFe3Br relaxed with PBEsol.

Output
E_form (uncorrected) = 2.21 eV per atom
Total energy = -102.3 eV/cell

Unit cell a=4.945 b=4.945 c=4.945 alpha=90.00 beta=90.00 gamma=90.00
Space group Pm-3m (No. 221)
Symmetry-distinct sites (fractional):
Ba  0.000  0.000  0.000 (multiplicity 1)
Fe  0.000  0.000  0.500 (multiplicity 3)
Br  0.500  0.500  0.500 (multiplicity 1)

6.
VASP calculation (meta-GGA SCAN) on a crystal of BaFeBr2 relaxed with PBEsol.

Output
E_form (uncorrected) = -0.74 eV per atom
Total energy = -199.1 eV/cell
E above lowest polymorph = 149 meV/atom

Unit cell a=4.498 b=4.498 c=11.100 alpha=90.00 beta=90.00 gamma=90.00
Space group I-4m2 (No. 119)
Symmetry-distinct sites (fractional):
Ba  0.000  0.000  0.000 (multiplicity 2)
Fe  0.000  0.500  0.750 (multiplicity 2)
Br  0.000  0.000  0.500 (multiplicity 2)
Br  0.000  0.500  0.250 (multiplicity 2)

- total energy of number 5 (BaFe3Br)?
  -102.3 eV/cell